An optimized crystal structure of BaTcMo2, computed with GGA-PBEsol.

Output
The formation energy is 1.36 eV/atom. The relative energy among the computed polymorphs is 0.615 eV/atom. The calculation puts the size of the total moment at 0.00 Bohr magnetons per cell. For the density of states at the Fermi level, the calculation gives 0.926 states/eV/atom.

abc: 3.1658 4.7488 4.7488
angles: 90.00 90.00 90.00
Atoms (fractional coordinates):
Mo 0.0000 0.0000 0.5000
Mo 0.0000 0.5000 0.0000
Ba 0.5000 0.0000 0.0000
Tc 0.5000 0.5000 0.5000

***

An optimized crystal structure of IrOsPt, computed with GGA-PBEsol.

Output
The formation energy is 0.38 eV/atom. The relative energy among the computed polymorphs is 0.356 eV/atom. The calculation puts the size of the total moment at 0.00 Bohr magnetons per cell. For the density of states at the Fermi level, the calculation gives 1.104 states/eV/atom.

abc: 2.6490 4.3668 4.3668
angles: 120.00 90.00 90.00
Atoms (fractional coordinates):
Os 0.0000 0.3333 0.6667
Ir 0.5000 0.0000 0.0000
Pt 0.5000 0.6667 0.3333

***

An optimized crystal structure of ScNb2CuBi, computed with GGA-PBEsol.

Output
The formation energy is 0.55 eV/atom. The calculation puts the size of the total moment at 0.00 Bohr magnetons per cell. For the density of states at the Fermi level, the calculation gives 1.102 states/eV/atom.

abc: 4.6874 4.6874 4.7889
angles: 90.00 90.00 90.00
Atoms (fractional coordinates):
Sc 0.0000 0.0000 0.5000
Bi 0.5000 0.5000 0.5000
Nb 0.5000 0.0000 0.0000
Nb 0.0000 0.5000 0.0000
Cu 0.0000 0.0000 0.0000

***

An optimized crystal structure of ZrBNF2, computed with GGA-PBEsol.

Output
The calculation puts the size of the total moment at 0.00 Bohr magnetons per cell. For the density of states at the Fermi level, the calculation gives 0.242 states/eV/atom. For the uncorrected formation energy, the calculation gives -1.332 eV/atom.

abc: 2.7086 4.3260 4.3260
angles: 90.00 90.00 90.00
Atoms (fractional coordinates):
N 0.5000 0.0000 0.0000
F 0.0000 0.0000 0.5000
F 0.0000 0.5000 0.0000
B 0.0000 0.0000 0.0000
Zr 0.5000 0.5000 0.5000

***

An optimized crystal structure of Tl2CrSe, computed with GGA-PBEsol.

Output
The relative energy among the computed polymorphs is 0.000 eV/atom. The calculation puts the size of the total moment at 3.34 Bohr magnetons per cell. For the density of states at the Fermi level, the calculation gives 0.595 states/eV/atom. For the uncorrected formation energy, the calculation gives 0.117 eV/atom.

abc: 3.4674 4.5117 6.3790
angles: 110.71 90.00 90.00
Site moments in Bohr magnetons follow the coordinates.
Atoms (fractional coordinates):
Cr 0.0000 0.8343 0.6687  3.21
Tl 0.5000 0.3995 0.7990  -0.03
Tl 0.0000 0.0781 0.1563  0.01
Se 0.5000 0.6912 0.3824  -0.08

***

An optimized crystal structure of GaCuC2Cl, computed with GGA-PBEsol.

Output
The calculation puts the size of the total moment at 0.48 Bohr magnetons per cell. For the density of states at the Fermi level, the calculation gives 0.650 states/eV/atom. For the uncorrected formation energy, the calculation gives 1.959 eV/atom.

abc: 3.7339 3.7339 5.8547
angles: 90.00 90.00 90.00
Site moments in Bohr magnetons follow the coordinates.
Atoms (fractional coordinates):
C 0.0000 0.5000 0.0000  0.13
C 0.5000 0.0000 0.0000  0.13
Cu 0.0000 0.0000 0.5000  0.01
Ga 0.0000 0.0000 0.0000  0.00
Cl 0.5000 0.5000 0.5000  0.02

***

An optimized crystal structure of BaCdPb2, computed with GGA-PBEsol.

Output
The formation energy is -0.17 eV/atom. The calculation puts the size of the total moment at 0.00 Bohr magnetons per cell. For the density of states at the Fermi level, the calculation gives 0.559 states/eV/atom.

abc: 3.5101 6.1218 6.1218
angles: 109.85 90.00 90.00
Atoms (fractional coordinates):
Pb 0.0000 0.5000 0.0000
Pb 0.0000 0.0000 0.5000
Ba 0.5000 0.0000 0.0000
Cd 0.5000 0.5000 0.5000

***

An optimized crystal structure of Mn2TlFe, computed with GGA-PBEsol.

Output
The formation energy is 0.54 eV/atom. The relative energy among the computed polymorphs is 0.098 eV/atom. The calculation puts the size of the total moment at 7.08 Bohr magnetons per cell. For the density of states at the Fermi level, the calculation gives 0.963 states/eV/atom.

abc: 3.3993 4.1527 4.7578
angles: 115.87 110.93 90.00
Site moments in Bohr magnetons follow the coordinates.
Atoms (fractional coordinates):
Fe 0.0000 0.5000 0.0000  1.93
Mn 0.7327 0.7327 0.4653  2.60
Mn 0.2673 0.2673 0.5347  2.60
Tl 0.5000 0.0000 0.0000  -0.09

***

An optimized crystal structure of FeSbRh2, computed with GGA-PBEsol.

Output
The calculation puts the size of the total moment at 3.81 Bohr magnetons per cell. For the density of states at the Fermi level, the calculation gives 0.900 states/eV/atom. For the uncorrected formation energy, the calculation gives 0.031 eV/atom.

abc: 3.3753 3.3753 5.3506
angles: 90.00 90.00 90.00
Site moments in Bohr magnetons follow the coordinates.
Atoms (fractional coordinates):
Sb 0.0000 0.0000 0.4788  0.01
Rh 0.5000 0.5000 0.2671  0.15
Rh 0.0000 0.0000 0.9640  0.61
Fe 0.5000 0.5000 0.7902  2.98

***

An optimized crystal structure of BaIn2SnN, computed with GGA-PBEsol.

Output
The calculation puts the size of the total moment at 0.00 Bohr magnetons per cell. For the density of states at the Fermi level, the calculation gives 0.671 states/eV/atom. For the uncorrected formation energy, the calculation gives 0.223 eV/atom.

abc: 4.8468 4.8468 5.3085
angles: 90.00 90.00 90.00
Atoms (fractional coordinates):
N 0.0000 0.0000 0.0000
In 0.0000 0.5000 0.0000
In 0.5000 0.0000 0.0000
Sn 0.0000 0.0000 0.5000
Ba 0.5000 0.5000 0.5000

***

An optimized crystal structure of ZrScCd2, computed with GGA-PBEsol.

Output
The formation energy is -0.21 eV/atom. The relative energy among the computed polymorphs is 0.000 eV/atom. The calculation puts the size of the total moment at 0.00 Bohr magnetons per cell. For the density of states at the Fermi level, the calculation gives 0.887 states/eV/atom.

abc: 3.1130 4.2478 6.2516
angles: 90.00 90.00 90.00
Atoms (fractional coordinates):
Zr 0.5000 0.5000 0.5000
Cd 0.0000 0.0000 0.2492
Cd 0.0000 0.0000 0.7508
Sc 0.5000 0.5000 0.0000

***

An optimized crystal structure of Be2AgCl, computed with GGA-PBEsol.

Output
The relative energy among the computed polymorphs is 0.391 eV/atom. The calculation puts the size of the total moment at 0.00 Bohr magnetons per cell. For the density of states at the Fermi level, the calculation gives 0.369 states/eV/atom. For the uncorrected formation energy, the calculation gives 0.495 eV/atom.

abc: 3.0949 3.3932 5.8334
angles: 90.00 90.00 90.00
Atoms (fractional coordinates):
Ag 0.5000 0.0000 0.5000
Be 0.0000 0.5000 0.5000
Be 0.0000 0.0000 0.0000
Cl 0.5000 0.5000 0.0000